1.
The following is a PBE-GGA calculation of an optimized crystal structure of Cd3P4, from Alexandria.

Cell: 6.6388 6.6388 4.1280 Å, 90.00 90.00 120.00°
Last column: nearest neighbours and their distance in Å.
Space group P6/mmm (No. 191)
Asymmetric unit:
Cd (0.0000, 0.5000, 0.0000) [3 per cell]  4 P 2.82
P (0.0000, 0.0000, 0.2519) [2 per cell]  2 P 2.05-2.08
P (0.3333, 0.6667, 0.5000) [2 per cell]  6 Cd 2.82

## Properties
total magnetic moment	0.00	μB per formula unit
formation energy	0.512	eV per atom

---

2.
The following is a PBE-GGA calculation of an optimized crystal structure of CdP4, from Alexandria.

Cell: 5.3245 5.1977 7.7047 Å, 90.00 99.14 90.00°
Last column: nearest neighbours and their distance in Å.
Space group P2_1/c (No. 14)
Asymmetric unit:
Cd (0.0000, 0.0000, 0.0000) [2 per cell]  6 P 2.66-2.98
P (0.2626, 0.2124, 0.7521) [4 per cell]  2 P 2.19-2.20
P (0.3992, 0.6016, 0.1005) [4 per cell]  3 P 2.19-2.28

## Properties
offset from the most stable computed form	0.000	eV/atom
total magnetic moment	0.00	μB per formula unit
formation energy	-0.064	eV per atom

---

3.
The following is a PBE-GGA calculation of an optimized crystal structure of CdP5, from Alexandria.

Cell: 3.0927 3.0927 11.9998 Å, 90.00 90.00 90.00°
Last column: nearest neighbours and their distance in Å.
Space group P4/mmm (No. 123)
Asymmetric unit:
Cd (0.0000, 0.0000, 0.0000) [1 per cell]  2 P 2.82, 4 Cd 3.09
P (0.0000, 0.0000, 0.2346) [2 per cell]  4 P 2.31
P (0.5000, 0.5000, 0.2970) [2 per cell]  5 P 2.31-2.44
P (0.5000, 0.5000, 0.5000) [1 per cell]  2 P 2.44

## Properties
offset from the most stable computed form	0.108	eV/atom
total magnetic moment	0.00	μB per formula unit
formation energy	0.354	eV per atom

---

4.
The following is a PBE-GGA calculation of an optimized crystal structure of CdP4, from Alexandria.

Cell: 4.3159 4.3159 10.7400 Å, 90.00 90.00 90.00°
Last column: nearest neighbours and their distance in Å.
Space group I4/mmm (No. 139)
Asymmetric unit:
Cd (0.0000, 0.0000, 0.0000) [2 per cell]  18 P 3.44-3.58
P (0.0000, 0.0000, 0.3336) [4 per cell]  4 P 2.34
P (0.0000, 0.5000, 0.2500) [4 per cell]  4 P 2.34

## Properties
offset from the most stable computed form	0.398	eV/atom
total magnetic moment	0.00	μB per formula unit
formation energy	0.333	eV per atom

---

5.
The following is a PBE-GGA calculation of an optimized crystal structure of Pa2CdP, from Alexandria.

Cell: 3.4091 3.4091 31.1478 Å, 90.00 90.00 120.00°
Last column: nearest neighbours and their distance in Å.
Space group R-3m (No. 166, hexagonal axes)
Asymmetric unit:
Pa (0.0000, 0.0000, 0.1067) [6 per cell]  3 P 2.71
Cd (0.0000, 0.0000, 0.0000) [3 per cell]  2 Pa 3.32, 6 Cd 3.41
P (0.0000, 0.0000, 0.5000) [3 per cell]  6 Pa 2.71

## Properties
total magnetic moment	0.00	μB per formula unit
formation energy	-0.122	eV per atom

---

6.
The following is a PBE-GGA calculation of an optimized crystal structure of Sr4Pa3CdP8, from Alexandria.

Cell: 8.2788 8.2788 20.7124 Å, 90.00 90.00 120.00°
Last column: nearest neighbours and their distance in Å.
Space group R-3m (No. 166, hexagonal axes)
Asymmetric unit:
Sr (0.0000, 0.0000, 0.0000) [3 per cell]  6 P 3.02
Sr (0.0000, 0.5000, 0.0000) [9 per cell]  6 P 3.10-3.13
Pa (0.0000, 0.5000, 0.5000) [9 per cell]  6 P 2.77-2.81
Cd (0.0000, 0.0000, 0.5000) [3 per cell]  6 P 2.89
P (0.0000, 0.0000, 0.2382) [6 per cell]  3 Pa 2.81, 3 Sr 3.10
P (0.0132, 0.5066, 0.7617) [18 per cell]  2 Pa 2.77, 1 Cd 2.89, 1 Sr 3.02

## Properties
total magnetic moment	0.00	μB per formula unit
formation energy	-1.042	eV per atom

---

7.
The following is a PBE-GGA calculation of an optimized crystal structure of Cd2PPb, from Alexandria.

Cell: 3.8384 5.4449 9.2633 Å, 90.00 90.00 90.00°
Last column: nearest neighbours and their distance in Å.
Space group Immm (No. 71)
Asymmetric unit:
Cd (0.0000, 0.0000, 0.2135) [4 per cell]  2 P 2.76
P (0.0000, 0.5000, 0.5000) [2 per cell]  4 Cd 2.76
Pb (0.0000, 0.5000, 0.0000) [2 per cell]  8 Cd 3.28-3.37, 4 P 3.33

## Properties
total magnetic moment	0.00	μB per formula unit
formation energy	0.204	eV per atom

---

8.
The following is a PBE-GGA calculation of an optimized crystal structure of CdPPb2, from Alexandria.

Cell: 7.4550 7.4550 7.4550 Å, 90.00 90.00 90.00°
Last column: nearest neighbours and their distance in Å.
Space group Fm-3m (No. 225)
Asymmetric unit:
Cd (0.0000, 0.0000, 0.0000) [4 per cell]  8 Pb 3.23
P (0.0000, 0.0000, 0.5000) [4 per cell]  8 Pb 3.23
Pb (0.2500, 0.2500, 0.2500) [8 per cell]  4 Cd 3.23, 4 P 3.23

## Properties
offset from the most stable computed form	0.181	eV/atom
total magnetic moment	0.00	μB per formula unit
formation energy	0.272	eV per atom

---

9.
The following is a PBE-GGA calculation of an optimized crystal structure of Cd2PPb, from Alexandria.

Cell: 3.7878 4.1572 12.5918 Å, 90.00 90.00 90.00°
Last column: nearest neighbours and their distance in Å.
Space group Imm2 (No. 44)
Asymmetric unit:
Cd (0.0000, 0.0000, 0.0000) [2 per cell]  2 Cd 3.02, 2 P 3.03, 4 Pb 3.24
Cd (0.0000, 0.5000, 0.1737) [2 per cell]  4 P 2.82, 2 Cd 3.02
P (0.0000, 0.5000, 0.6878) [2 per cell]  6 Cd 2.82-3.03, 2 Pb 2.99
Pb (0.0000, 0.0000, 0.3718) [2 per cell]  2 P 2.99, 6 Cd 3.24-3.25

## Properties
total magnetic moment	0.00	μB per formula unit
formation energy	0.154	eV per atom

---

10.
The following is a PBE-GGA calculation of an optimized crystal structure of CdPPb2, from Alexandria.

Cell: 4.9750 4.9750 8.3459 Å, 90.00 90.00 90.00°
Last column: nearest neighbours and their distance in Å.
Space group I4/mmm (No. 139)
Asymmetric unit:
Cd (0.0000, 0.0000, 0.0000) [2 per cell]  8 Pb 3.25, 4 P 3.52
P (0.0000, 0.0000, 0.5000) [2 per cell]  8 Pb 3.25, 4 Cd 3.52
Pb (0.0000, 0.5000, 0.2500) [4 per cell]  4 Cd 3.25, 4 P 3.25, 4 Pb 3.52

## Properties
offset from the most stable computed form	0.167	eV/atom
total magnetic moment	0.00	μB per formula unit
formation energy	0.259	eV per atom

---

11.
The following is a PBE-GGA calculation of an optimized crystal structure of Cd2PPb, from Alexandria.

Cell: 4.3082 4.4278 4.9844 Å, 90.00 90.00 90.00°
Last column: nearest neighbours and their distance in Å.
Space group Pmmm (No. 47)
Asymmetric unit:
Cd (0.0000, 0.0000, 0.0000) [1 per cell]  4 Cd 3.09, 4 Pb 3.29, 4 P 3.33
Cd (0.5000, 0.5000, 0.0000) [1 per cell]  4 Cd 3.09, 4 P 3.29, 4 Pb 3.33
P (0.0000, 0.5000, 0.5000) [1 per cell]  4 Pb 3.09, 8 Cd 3.29-3.33
Pb (0.5000, 0.0000, 0.5000) [1 per cell]  4 P 3.09, 8 Cd 3.29-3.33

## Properties
total magnetic moment	0.00	μB per formula unit
formation energy	0.243	eV per atom

---

12.
The following is a PBE-GGA calculation of an optimized crystal structure of CdPPb2, from Alexandria.

Cell: 6.8159 7.4502 4.0574 Å, 90.00 90.64 90.00°
Last column: nearest neighbours and their distance in Å.
Space group C2/m (No. 12)
Asymmetric unit:
Cd (0.0000, 0.0000, 0.0000) [2 per cell]  8 Pb 3.23-3.25, 2 P 3.41
P (0.0000, 0.5000, 0.0000) [2 per cell]  8 Pb 3.23-3.25, 2 Cd 3.41
Pb (0.2500, 0.2500, 0.5000) [4 per cell]  4 Cd 3.23-3.25, 4 P 3.23-3.25, 2 Pb 3.41

## Properties
offset from the most stable computed form	0.139	eV/atom
total magnetic moment	0.00	μB per formula unit
formation energy	0.231	eV per atom

---

| no. | energy (eV per atom) |
| --- | --- |
| 1 | -2.9714 |
| 2 | -4.5751 |
| 3 | -4.3069 |
| 4 | -4.1774 |
| 5 | -6.4507 |
| 6 | -6.0048 |
| 7 | -2.5328 |
| 8 | -3.1635 |
| 9 | -2.5827 |
| 10 | -3.1765 |
| 11 | -2.4943 |
| 12 | -3.2046 |